(1)
{
  "formula": "SrScIn2",
  "functional": "PBE",
  "state": "relaxed",
  "lattice_angstrom": [[3.7587, 0.0000, 0.0000], [0.0000, 3.7587, 0.0000], [0.0000, 0.0000, 7.7970]],
  "species": ["Sr", "Sc", "In", "In"],
  "fractional_positions": [[0.0000, 0.0000, 0.0000], [0.0000, 0.0000, 0.5000], [0.5000, 0.5000, 0.2900], [0.5000, 0.5000, 0.7100]],
  "delta_e_f_ev_per_atom": -0.40,
  "space_group": "P4/mmm, No. 123",
  "volume_a3_per_cell": 110.2,
  "magmom_total_mub_per_fu": 0.00
}

---

(2)
{
  "formula": "TbDyTl2Se4",
  "functional": "PBE",
  "state": "relaxed",
  "lattice_angstrom": [[7.2660, 0.0000, 0.0000], [0.0000, 4.1949, 0.0000], [-2.4201, 0.0000, 7.7723]],
  "species": ["Tb", "Dy", "Tl", "Tl", "Se", "Se", "Se", "Se"],
  "fractional_positions": [[0.0000, 0.0000, 0.0000], [0.5000, 0.5000, 0.0000], [0.0000, 0.5000, 0.5000], [0.5000, 0.0000, 0.5000], [0.2359, 0.5000, 0.2048], [0.2663, 0.0000, 0.7956], [0.7337, 0.0000, 0.2044], [0.7641, 0.5000, 0.7952]],
  "space_group": "P2/m, No. 10",
  "volume_a3_per_cell": 236.9,
  "magmom_total_mub_per_fu": 0.00,
  "formation_energy_uncorrected_ev_per_atom": -1.3891
}

---

(3)
{
  "formula": "YZnRe4",
  "functional": "PBE",
  "state": "relaxed",
  "lattice_angstrom": [[0.0000, 3.7551, 3.7551], [3.7551, 0.0000, 3.7551], [3.7551, 3.7551, 0.0000]],
  "species": ["Y", "Zn", "Re", "Re", "Re", "Re"],
  "fractional_positions": [[0.0000, 0.0000, 0.0000], [0.2500, 0.2500, 0.2500], [0.1264, 0.6245, 0.6245], [0.6245, 0.1264, 0.6245], [0.6245, 0.6245, 0.1264], [0.6245, 0.6245, 0.6245]],
  "delta_e_f_ev_per_atom": 0.14,
  "space_group": "F-43m, No. 216",
  "volume_a3_per_cell": 105.9,
  "magmom_total_mub_per_fu": 0.00
}

---

(4)
{
  "formula": "AgHg3O",
  "functional": "PBE",
  "state": "relaxed",
  "lattice_angstrom": [[5.3837, 0.0000, 0.0000], [0.0000, 5.3837, 0.0000], [0.0000, 0.0000, 5.3837]],
  "species": ["Ag", "Hg", "Hg", "Hg", "O"],
  "fractional_positions": [[0.0000, 0.0000, 0.0000], [0.0000, 0.0000, 0.5000], [0.0000, 0.5000, 0.0000], [0.5000, 0.0000, 0.0000], [0.5000, 0.5000, 0.5000]],
  "space_group": "Pm-3m, No. 221",
  "volume_a3_per_cell": 156.0,
  "magmom_total_mub_per_fu": 0.00,
  "formation_energy_uncorrected_ev_per_atom": 0.6593
}

---

(5)
{
  "formula": "LiCa2Ru",
  "functional": "PBE",
  "state": "relaxed",
  "lattice_angstrom": [[-3.9056, 3.9056, 3.1794], [3.9056, -3.9056, 3.1794], [3.9056, 3.9056, -3.1794]],
  "species": ["Li", "Li", "Ca", "Ca", "Ca", "Ca", "Ru", "Ru"],
  "fractional_positions": [[0.0000, 0.0000, 0.0000], [0.7500, 0.2500, 0.5000], [0.1496, 0.1250, 0.5246], [0.3750, 0.8504, 0.9754], [0.6004, 0.6250, 0.4754], [0.8750, 0.3996, 0.0246], [0.2500, 0.7500, 0.5000], [0.5000, 0.5000, 0.0000]],
  "delta_e_f_ev_per_atom": 0.46,
  "space_group": "I-42d, No. 122",
  "volume_a3_per_cell": 194.0,
  "magmom_total_mub_per_fu": 0.00
}

---

(6)
{
  "formula": "PaNi4H8Pd",
  "functional": "PBE",
  "state": "relaxed",
  "lattice_angstrom": [[2.4919, 1.4387, 5.5685], [-2.4919, 1.4387, 5.5685], [0.0000, -2.8774, 5.5685]],
  "species": ["Pa", "Ni", "Ni", "Ni", "Ni", "H", "H", "H", "H", "H", "H", "H", "H", "Pd"],
  "fractional_positions": [[0.0000, 0.0000, 0.0000], [0.0017, 0.0017, 0.5072], [0.0017, 0.5072, 0.0017], [0.4002, 0.4002, 0.4002], [0.5072, 0.0017, 0.0017], [0.2242, 0.7227, 0.7227], [0.2753, 0.2753, 0.7991], [0.2753, 0.7991, 0.2753], [0.3084, 0.3084, 0.3084], [0.7227, 0.2242, 0.7227], [0.7227, 0.7227, 0.2242], [0.7796, 0.7796, 0.7796], [0.7991, 0.2753, 0.2753], [0.6731, 0.6731, 0.6731]],
  "space_group": "R3m, No. 160",
  "energy_ev_per_cell": -65.124,
  "volume_a3_per_cell": 119.8,
  "magmom_total_mub_per_fu": 0.00
}

---

(7)
{
  "formula": "NaCa2Zn3Ge4",
  "functional": "PBE",
  "state": "relaxed",
  "lattice_angstrom": [[4.3156, 0.0000, 0.0000], [0.0000, 4.3156, 0.0000], [0.0000, 0.0000, 11.2571]],
  "species": ["Na", "Ca", "Ca", "Zn", "Zn", "Zn", "Ge", "Ge", "Ge", "Ge"],
  "fractional_positions": [[0.0000, 0.0000, 0.0000], [0.0000, 0.5000, 0.7428], [0.5000, 0.0000, 0.2572], [0.0000, 0.5000, 0.3655], [0.5000, 0.0000, 0.6345], [0.5000, 0.5000, 0.0000], [0.0000, 0.0000, 0.5000], [0.0000, 0.5000, 0.1492], [0.5000, 0.0000, 0.8508], [0.5000, 0.5000, 0.5000]],
  "delta_e_f_ev_per_atom": -0.26,
  "space_group": "P-4m2, No. 115",
  "volume_a3_per_cell": 209.7,
  "magmom_total_mub_per_fu": 0.00
}

---

(8)
{
  "formula": "CsTlTcAs2",
  "functional": "PBE",
  "state": "relaxed",
  "lattice_angstrom": [[5.7993, 0.0000, 0.0000], [0.0000, 5.7993, 0.0000], [0.0000, 0.0000, 6.0871]],
  "species": ["Cs", "Tl", "Tc", "As", "As"],
  "fractional_positions": [[0.0000, 0.0000, 0.0000], [0.0000, 0.0000, 0.5000], [0.5000, 0.5000, 0.5000], [0.0000, 0.5000, 0.0000], [0.5000, 0.0000, 0.0000]],
  "delta_e_f_ev_per_atom": 2.12,
  "space_group": "P4/mmm, No. 123",
  "volume_a3_per_cell": 204.7,
  "magmom_total_mub_per_fu": 4.15
}

---

(9)
{
  "formula": "Sc2MnAlRu",
  "functional": "PBE",
  "state": "relaxed",
  "lattice_angstrom": [[4.5272, 0.0000, 0.0000], [0.0000, 4.5272, 0.0000], [0.0000, 0.0000, 4.5310]],
  "species": ["Sc", "Sc", "Mn", "Al", "Ru"],
  "fractional_positions": [[0.0000, 0.5000, 0.0000], [0.5000, 0.0000, 0.0000], [0.0000, 0.0000, 0.0000], [0.0000, 0.0000, 0.5000], [0.5000, 0.5000, 0.5000]],
  "delta_e_f_ev_per_atom": 0.47,
  "space_group": "P4/mmm, No. 123",
  "volume_a3_per_cell": 92.9,
  "magmom_total_mub_per_fu": 0.00
}

---

(10)
{
  "formula": "LiTbLu2",
  "functional": "PBE",
  "state": "relaxed",
  "lattice_angstrom": [[5.4704, 0.0000, 0.0000], [0.0000, 5.4704, 0.0000], [0.0000, 0.0000, 3.7402]],
  "species": ["Li", "Tb", "Lu", "Lu"],
  "fractional_positions": [[0.0000, 0.0000, 0.0000], [0.5000, 0.5000, 0.0000], [0.0000, 0.5000, 0.5000], [0.5000, 0.0000, 0.5000]],
  "delta_e_f_ev_per_atom": 0.19,
  "space_group": "P4/mmm, No. 123",
  "volume_a3_per_cell": 111.9,
  "magmom_total_mub_per_fu": 0.00
}

---

(11)
{
  "formula": "PmRe2HgO8",
  "functional": "PBE",
  "state": "relaxed",
  "lattice_angstrom": [[3.4451, 1.9891, 5.6045], [-3.4451, 1.9891, 5.6045], [0.0000, -3.9781, 5.6045]],
  "species": ["Pm", "Re", "Re", "Hg", "O", "O", "O", "O", "O", "O", "O", "O"],
  "fractional_positions": [[0.0000, 0.0000, 0.0000], [0.2502, 0.2502, 0.2502], [0.7498, 0.7498, 0.7498], [0.5000, 0.5000, 0.5000], [0.1440, 0.1467, 0.5649], [0.1450, 0.1450, 0.1450], [0.1467, 0.5649, 0.1440], [0.4351, 0.8560, 0.8533], [0.5649, 0.1440, 0.1467], [0.8533, 0.4351, 0.8560], [0.8550, 0.8550, 0.8550], [0.8560, 0.8533, 0.4351]],
  "space_group": "R-3, No. 148",
  "volume_a3_per_cell": 230.4,
  "magmom_total_mub_per_fu": 0.00,
  "formation_energy_uncorrected_ev_per_atom": -1.8608
}

---

(12)
{
  "formula": "SmY4Tm2Sc",
  "functional": "PBE",
  "state": "relaxed",
  "lattice_angstrom": [[-3.3713, 5.8224, 6.5561], [3.3713, -5.8224, 6.5561], [3.3713, 5.8224, -6.5561]],
  "species": ["Sm", "Sm", "Y", "Y", "Y", "Y", "Y", "Y", "Y", "Y", "Tm", "Tm", "Tm", "Tm", "Sc", "Sc"],
  "fractional_positions": [[0.0000, 0.0000, 0.0000], [0.5000, 0.0000, 0.5000], [0.2567, 0.7474, 0.5093], [0.2576, 0.2590, 0.5014], [0.2576, 0.7562, 0.9986], [0.2618, 0.2526, 0.0093], [0.7382, 0.7474, 0.9907], [0.7424, 0.2438, 0.0014], [0.7424, 0.7410, 0.4986], [0.7433, 0.2526, 0.4907], [0.0000, 0.0000, 0.5000], [0.0000, 0.5000, 0.0000], [0.0000, 0.5000, 0.5000], [0.5000, 0.5000, 0.0000], [0.5000, 0.0000, 0.0000], [0.5000, 0.5000, 0.5000]],
  "delta_e_f_ev_per_atom": 0.45,
  "space_group": "Imma, No. 74",
  "volume_a3_per_cell": 514.8,
  "magmom_total_mub_per_fu": 3.90
}

---

(13)
{
  "formula": "TaCdAu2",
  "functional": "PBE",
  "state": "relaxed",
  "lattice_angstrom": [[-3.7484, 3.7484, 2.9629], [3.7484, -3.7484, 2.9629], [3.7484, 3.7484, -2.9629]],
  "species": ["Ta", "Ta", "Cd", "Cd", "Au", "Au", "Au", "Au"],
  "fractional_positions": [[0.0000, 0.0000, 0.0000], [0.7500, 0.2500, 0.5000], [0.2500, 0.7500, 0.5000], [0.5000, 0.5000, 0.0000], [0.1082, 0.6250, 0.9832], [0.3750, 0.3582, 0.4832], [0.6418, 0.1250, 0.0168], [0.8750, 0.8918, 0.5168]],
  "delta_e_f_ev_per_atom": 0.44,
  "space_group": "I-42d, No. 122",
  "volume_a3_per_cell": 166.5,
  "magmom_total_mub_per_fu": 0.00
}

---

(14)
{
  "formula": "AgBPt3",
  "functional": "PBE",
  "state": "relaxed",
  "lattice_angstrom": [[7.2618, 0.0000, 0.0000], [0.0000, 4.7608, 0.0000], [-1.7623, 0.0000, 8.9530]],
  "species": ["Ag", "Ag", "Ag", "Ag", "B", "B", "B", "B", "Pt", "Pt", "Pt", "Pt", "Pt", "Pt", "Pt", "Pt", "Pt", "Pt", "Pt", "Pt"],
  "fractional_positions": [[0.0858, 0.0473, 0.1681], [0.0858, 0.4527, 0.6681], [0.9142, 0.5473, 0.3319], [0.9142, 0.9527, 0.8319], [0.3881, 0.6825, 0.6003], [0.3881, 0.8175, 0.1003], [0.6119, 0.1825, 0.8997], [0.6119, 0.3175, 0.3997], [0.1741, 0.5590, 0.9909], [0.1741, 0.9410, 0.4909], [0.3145, 0.0712, 0.9116], [0.3145, 0.4288, 0.4116], [0.4647, 0.5734, 0.8230], [0.4647, 0.9266, 0.3230], [0.5353, 0.0734, 0.6770], [0.5353, 0.4266, 0.1770], [0.6855, 0.5712, 0.5884], [0.6855, 0.9288, 0.0884], [0.8259, 0.0590, 0.5091], [0.8259, 0.4410, 0.0091]],
  "delta_e_f_ev_per_atom": -0.07,
  "space_group": "P2_1/c, No. 14",
  "volume_a3_per_cell": 309.5,
  "magmom_total_mub_per_fu": 0.00
}

---

(15)
{
  "formula": "MnWAu2",
  "functional": "PBE",
  "state": "relaxed",
  "lattice_angstrom": [[0.0000, 3.1918, 3.1918], [3.1918, 0.0000, 3.1918], [3.1918, 3.1918, 0.0000]],
  "species": ["Mn", "W", "Au", "Au"],
  "fractional_positions": [[0.0000, 0.0000, 0.0000], [0.2500, 0.2500, 0.2500], [0.5000, 0.5000, 0.5000], [0.7500, 0.7500, 0.7500]],
  "delta_e_f_ev_per_atom": 0.46,
  "space_group": "F-43m, No. 216",
  "volume_a3_per_cell": 65.0,
  "magmom_total_mub_per_fu": 1.93
}

---

(16)
{
  "formula": "AgOsSeBr2",
  "functional": "PBE",
  "state": "relaxed",
  "lattice_angstrom": [[5.1256, 0.0000, 0.0000], [0.0000, 5.1256, 0.0000], [0.0000, 0.0000, 5.3021]],
  "species": ["Ag", "Os", "Se", "Br", "Br"],
  "fractional_positions": [[0.0000, 0.0000, 0.0000], [0.5000, 0.5000, 0.5000], [0.0000, 0.0000, 0.5000], [0.0000, 0.5000, 0.0000], [0.5000, 0.0000, 0.0000]],
  "space_group": "P4/mmm, No. 123",
  "volume_a3_per_cell": 139.3,
  "magmom_total_mub_per_fu": 4.53,
  "formation_energy_uncorrected_ev_per_atom": 1.4239
}

---

(17)
{
  "formula": "PmMg8Ir4",
  "functional": "PBE",
  "state": "relaxed",
  "lattice_angstrom": [[-4.6002, 4.6002, 2.8670], [4.6002, -4.6002, 2.8670], [4.6002, 4.6002, -2.8670]],
  "species": ["Pm", "Mg", "Mg", "Mg", "Mg", "Mg", "Mg", "Mg", "Mg", "Ir", "Ir", "Ir", "Ir"],
  "fractional_positions": [[0.0000, 0.0000, 0.0000], [0.0000, 0.3318, 0.3318], [0.0000, 0.6682, 0.6682], [0.2769, 0.5000, 0.7769], [0.3318, 0.0000, 0.3318], [0.5000, 0.2769, 0.7769], [0.5000, 0.7231, 0.2231], [0.6682, 0.0000, 0.6682], [0.7231, 0.5000, 0.2231], [0.0000, 0.0000, 0.5000], [0.0000, 0.5000, 0.0000], [0.5000, 0.0000, 0.0000], [0.5000, 0.5000, 0.5000]],
  "delta_e_f_ev_per_atom": -0.34,
  "space_group": "I4/mmm, No. 139",
  "volume_a3_per_cell": 242.7,
  "magmom_total_mub_per_fu": 0.00
}

---

(18)
{
  "formula": "Pr4GeI2Cl",
  "functional": "PBE",
  "state": "relaxed",
  "lattice_angstrom": [[7.2141, 0.0000, 0.0000], [0.0000, 4.3299, 0.0000], [-2.6064, 0.0000, 7.8800]],
  "species": ["Pr", "Pr", "Pr", "Pr", "Ge", "I", "I", "Cl"],
  "fractional_positions": [[0.2229, 0.0000, 0.1920], [0.2587, 0.5000, 0.8022], [0.7413, 0.5000, 0.1978], [0.7771, 0.0000, 0.8080], [0.5000, 0.0000, 0.0000], [0.0000, 0.0000, 0.5000], [0.5000, 0.5000, 0.5000], [0.0000, 0.5000, 0.0000]],
  "space_group": "P2/m, No. 10",
  "volume_a3_per_cell": 246.1,
  "magmom_total_mub_per_fu": 0.00,
  "formation_energy_uncorrected_ev_per_atom": -1.0805
}

---

(19)
{
  "formula": "FeCo2Se",
  "functional": "PBE",
  "state": "relaxed",
  "lattice_angstrom": [[2.9487, 0.0000, 0.0000], [0.0000, 2.9487, 0.0000], [0.0000, 0.0000, 5.8252]],
  "species": ["Fe", "Co", "Co", "Se"],
  "fractional_positions": [[0.0000, 0.0000, 0.0000], [0.0000, 0.0000, 0.5217], [0.5000, 0.5000, 0.7605], [0.5000, 0.5000, 0.2620]],
  "space_group": "P4mm, No. 99",
  "volume_a3_per_cell": 50.6,
  "magmom_total_mub_per_fu": 5.59,
  "formation_energy_uncorrected_ev_per_atom": 0.2267
}

---

(20)
{
  "formula": "Ba2SnHgGe",
  "functional": "PBE",
  "state": "relaxed",
  "lattice_angstrom": [[6.3864, 0.0000, 0.0000], [0.0000, 6.3864, 0.0000], [0.0000, 0.0000, 5.3765]],
  "species": ["Ba", "Ba", "Sn", "Hg", "Ge"],
  "fractional_positions": [[0.0000, 0.5000, 0.0000], [0.5000, 0.0000, 0.0000], [0.0000, 0.0000, 0.5000], [0.0000, 0.0000, 0.0000], [0.5000, 0.5000, 0.5000]],
  "delta_e_f_ev_per_atom": 0.10,
  "space_group": "P4/mmm, No. 123",
  "volume_a3_per_cell": 219.3,
  "magmom_total_mub_per_fu": 0.30
}

---

(21)
{
  "formula": "Ba2YZnS5",
  "functional": "PBE",
  "state": "relaxed",
  "lattice_angstrom": [[2.0611, -9.0357, 0.0000], [2.0611, 9.0357, 0.0000], [0.0000, 0.0000, 12.8618]],
  "species": ["Ba", "Ba", "Ba", "Ba", "Y", "Y", "Zn", "Zn", "S", "S", "S", "S", "S", "S", "S", "S", "S", "S"],
  "fractional_positions": [[0.1180, 0.8820, 0.5000], [0.1281, 0.8719, 0.1370], [0.8719, 0.1281, 0.6370], [0.8820, 0.1180, 0.0000], [0.2004, 0.7996, 0.8305], [0.7996, 0.2004, 0.3305], [0.4434, 0.5566, 0.2446], [0.5566, 0.4434, 0.7446], [0.0437, 0.9563, 0.8370], [0.2996, 0.7004, 0.4717], [0.3139, 0.6861, 0.1849], [0.3474, 0.6526, 0.8211], [0.4981, 0.5019, 0.5859], [0.5019, 0.4981, 0.0859], [0.6526, 0.3474, 0.3211], [0.6861, 0.3139, 0.6849], [0.7004, 0.2996, 0.9717], [0.9563, 0.0437, 0.3370]],
  "space_group": "Cmc2_1, No. 36",
  "volume_a3_per_cell": 479.1,
  "magmom_total_mub_per_fu": 0.00,
  "formation_energy_uncorrected_ev_per_atom": -1.6070
}

---

(22)
{
  "formula": "NbSeBr",
  "functional": "PBE",
  "state": "relaxed",
  "lattice_angstrom": [[8.0252, 0.0000, 0.0000], [0.0000, 6.3306, 0.0000], [-0.3314, 0.0000, 6.2326]],
  "species": ["Nb", "Nb", "Nb", "Nb", "Se", "Se", "Se", "Se", "Br", "Br", "Br", "Br"],
  "fractional_positions": [[0.0904, 0.1992, 0.0093], [0.0904, 0.3008, 0.5093], [0.9096, 0.6992, 0.4907], [0.9096, 0.8008, 0.9907], [0.1363, 0.5927, 0.7894], [0.1363, 0.9073, 0.2894], [0.8637, 0.0927, 0.7106], [0.8637, 0.4073, 0.2106], [0.3337, 0.1036, 0.7611], [0.3337, 0.3964, 0.2611], [0.6663, 0.6036, 0.7389], [0.6663, 0.8964, 0.2389]],
  "space_group": "P2_1/c, No. 14",
  "volume_a3_per_cell": 316.6,
  "magmom_total_mub_per_fu": 0.00,
  "formation_energy_uncorrected_ev_per_atom": -0.7850
}

---

(23)
{
  "formula": "PmEr5Pd4",
  "functional": "PBE",
  "state": "relaxed",
  "lattice_angstrom": [[3.4965, 0.0000, 0.0000], [0.0000, 3.4965, 0.0000], [0.0000, 0.0000, 19.1244]],
  "species": ["Pm", "Er", "Er", "Er", "Er", "Er", "Pd", "Pd", "Pd", "Pd"],
  "fractional_positions": [[0.0000, 0.0000, 0.0000], [0.5000, 0.5000, 0.1397], [0.5000, 0.5000, 0.3183], [0.5000, 0.5000, 0.5000], [0.5000, 0.5000, 0.6817], [0.5000, 0.5000, 0.8603], [0.0000, 0.0000, 0.2268], [0.0000, 0.0000, 0.4085], [0.0000, 0.0000, 0.5915], [0.0000, 0.0000, 0.7732]],
  "delta_e_f_ev_per_atom": -0.73,
  "space_group": "P4/mmm, No. 123",
  "volume_a3_per_cell": 233.8,
  "magmom_total_mub_per_fu": 0.00
}

---

(24)
{
  "formula": "CaYW",
  "functional": "PBE",
  "state": "relaxed",
  "lattice_angstrom": [[0.0000, 3.5777, 3.5777], [3.5777, 0.0000, 3.5777], [3.5777, 3.5777, 0.0000]],
  "species": ["Ca", "Y", "W"],
  "fractional_positions": [[0.0000, 0.0000, 0.0000], [0.5000, 0.5000, 0.5000], [0.2500, 0.2500, 0.2500]],
  "delta_e_f_ev_per_atom": 1.25,
  "space_group": "F-43m, No. 216",
  "volume_a3_per_cell": 91.6,
  "magmom_total_mub_per_fu": 2.57
}